## Tb2Zn3In3 (PBE)

Data for Tb2Zn3In3 after structural relaxation.

The space group is Pmmm (No. 47) and the conventional cell measures 4.421, 4.465 and 8.942 Å, with angles of 90.00, 90.00 and 90.00 degrees. Symmetry generates all atoms from Tb at (0.000, 0.000, 0.244), Zn at (0.500, 0.000, 0.000), Zn at (0.500, 0.500, 0.239), In at (0.000, 0.500, 0.000), In at (0.000, 0.500, 0.500) and In at (0.500, 0.000, 0.500).

The formation energy is -0.33 eV/atom. As for the volume: 176.5 Å³ per cell. As for the total magnetic moment: 0.00 μB/atom. Its density of states at the Fermi level is 0.372 states/eV per atom.


## ZrAlV (PBE)

Data for ZrAlV after structural relaxation.

The space group is R-3m (No. 166, hexagonal axes) and the conventional cell measures 2.9166, 2.9166 and 43.2435 Å, with angles of 90.00, 90.00 and 120.00 degrees. Symmetry generates all atoms from Zr at (0.0000, 0.0000, 0.1075), Al at (0.0000, 0.0000, 0.3825), V at (0.0000, 0.0000, 0.0000) and V at (0.0000, 0.0000, 0.5000).

The formation energy is 0.06 eV/atom. As for the volume: 318.6 Å³ per cell. As for the total magnetic moment: 0.21 μB/atom. Its density of states at the Fermi level is 1.092 states/eV per atom.


## CaTiMo2 (PBE)

Data for CaTiMo2 after structural relaxation.

The space group is Fm-3m (No. 225) and the conventional cell measures 6.624, 6.624 and 6.624 Å, with angles of 90.00, 90.00 and 90.00 degrees. Symmetry generates all atoms from Ca at (0.000, 0.000, 0.000), Ti at (0.000, 0.000, 0.500) and Mo at (0.250, 0.250, 0.250).

The formation energy is 0.77 eV/atom. As for the volume: 290.6 Å³ per cell. As for the total magnetic moment: 0.00 μB/atom. Its density of states at the Fermi level is 2.403 states/eV per atom.